1.
{"formula": "Ge2AsWO", "functional": "PBEsol", "state": "relaxed", "cell": [[4.939, 0.000, 0.000], [0.000, 4.939, 0.000], [0.000, 0.000, 3.531]], "species": ["Ge", "Ge", "As", "W", "O"], "fractional_positions": [[0.000, 0.500, 0.000], [0.500, 0.000, 0.000], [0.000, 0.000, 0.000], [0.500, 0.500, 0.500], [0.000, 0.000, 0.500]], "formation_energy_uncorrected_mev_per_atom": 937, "energy_ev_per_atom": -5.8711, "mass_density_g_cm3": 8.10, "total_magnetization_mub_per_cell": 2.32}

---

2.
{"formula": "GeAsOsSe2", "functional": "PBEsol", "state": "relaxed", "cell": [[4.698, 0.000, 0.000], [0.000, 4.698, 0.000], [0.000, 0.000, 4.649]], "species": ["Ge", "As", "Os", "Se", "Se"], "fractional_positions": [[0.000, 0.000, 0.000], [0.000, 0.000, 0.500], [0.500, 0.500, 0.500], [0.000, 0.500, 0.000], [0.500, 0.000, 0.000]], "formation_energy_uncorrected_mev_per_atom": 1522, "energy_ev_per_atom": -4.4705, "mass_density_g_cm3": 8.02, "total_magnetization_mub_per_cell": 0.00}

---

3.
{"formula": "Zr2GeAsOs", "functional": "PBEsol", "state": "relaxed", "cell": [[4.926, 0.000, 0.000], [0.000, 4.926, 0.000], [0.000, 0.000, 4.461]], "species": ["Zr", "Zr", "Ge", "As", "Os"], "fractional_positions": [[0.000, 0.500, 0.000], [0.500, 0.000, 0.000], [0.000, 0.000, 0.500], [0.500, 0.500, 0.000], [0.500, 0.500, 0.500]], "energy_ev_per_atom": -7.6083, "mass_density_g_cm3": 7.98, "total_magnetization_mub_per_cell": 0.00}

---

4.
{"formula": "GeAs3P", "functional": "PBEsol", "state": "relaxed", "cell": [[4.713, 0.000, 0.000], [0.000, 4.713, 0.000], [0.000, 0.000, 4.713]], "species": ["Ge", "As", "As", "As", "P"], "fractional_positions": [[0.000, 0.000, 0.000], [0.000, 0.500, 0.500], [0.500, 0.000, 0.500], [0.500, 0.500, 0.000], [0.500, 0.500, 0.500]], "energy_ev_per_atom": -4.5158, "mass_density_g_cm3": 5.21, "total_magnetization_mub_per_cell": 0.00}

---

5.
{"formula": "GeTeAsP2", "functional": "PBEsol", "state": "relaxed", "cell": [[4.945, 0.000, 0.000], [0.000, 4.945, 0.000], [0.000, 0.000, 5.291]], "species": ["Ge", "Te", "As", "P", "P"], "fractional_positions": [[0.000, 0.000, 0.000], [0.000, 0.000, 0.500], [0.500, 0.500, 0.000], [0.000, 0.500, 0.500], [0.500, 0.000, 0.500]], "formation_energy_uncorrected_mev_per_atom": 1363, "energy_ev_per_atom": -3.6681, "mass_density_g_cm3": 4.33, "total_magnetization_mub_per_cell": 0.00}

---

6.
{"formula": "TlGe2AsP", "functional": "PBEsol", "state": "relaxed", "cell": [[4.760, 0.000, 0.000], [0.000, 4.760, 0.000], [0.000, 0.000, 5.110]], "species": ["Tl", "Ge", "Ge", "As", "P"], "fractional_positions": [[0.000, 0.000, 0.000], [0.000, 0.500, 0.500], [0.500, 0.000, 0.500], [0.500, 0.500, 0.000], [0.000, 0.000, 0.500]], "energy_ev_per_atom": -4.0598, "mass_density_g_cm3": 6.53, "total_magnetization_mub_per_cell": 0.00}

---

7.
{"formula": "ZnGeAsP", "functional": "PBEsol", "state": "relaxed", "cell": [[-2.755, 2.778, 5.479], [2.755, -2.778, 5.479], [2.755, 2.778, -5.479]], "species": ["Zn", "Zn", "Ge", "Ge", "As", "As", "P", "P"], "fractional_positions": [[0.134, 0.384, 0.750], [0.366, 0.116, 0.250], [0.628, 0.878, 0.750], [0.872, 0.622, 0.250], [0.250, 0.006, 0.756], [0.750, 0.494, 0.744], [0.507, 0.750, 0.257], [0.993, 0.250, 0.243]], "energy_ev_per_atom": -4.5089, "mass_density_g_cm3": 4.83, "total_magnetization_mub_per_cell": 0.00}

---

8.
{"formula": "Zr2GeAsP", "functional": "PBEsol", "state": "relaxed", "cell": [[5.021, 0.000, 0.000], [0.000, 5.021, 0.000], [0.000, 0.000, 4.431]], "species": ["Zr", "Zr", "Ge", "As", "P"], "fractional_positions": [[0.000, 0.500, 0.000], [0.500, 0.000, 0.000], [0.000, 0.000, 0.500], [0.500, 0.500, 0.000], [0.500, 0.500, 0.500]], "energy_ev_per_atom": -6.4759, "mass_density_g_cm3": 5.37, "total_magnetization_mub_per_cell": 0.00}

---

9.
{"formula": "GeAsPbSe2", "functional": "PBEsol", "state": "relaxed", "cell": [[5.311, 0.000, 0.000], [0.000, 5.311, 0.000], [0.000, 0.000, 5.271]], "species": ["Ge", "As", "Pb", "Se", "Se"], "fractional_positions": [[0.000, 0.000, 0.000], [0.500, 0.500, 0.000], [0.500, 0.500, 0.500], [0.000, 0.500, 0.500], [0.500, 0.000, 0.500]], "formation_energy_uncorrected_mev_per_atom": 894, "energy_ev_per_atom": -3.4551, "mass_density_g_cm3": 5.73, "total_magnetization_mub_per_cell": 0.00}

---

10.
{"formula": "Ge2AsPbSe", "functional": "PBEsol", "state": "relaxed", "cell": [[4.991, 0.000, 0.000], [0.000, 4.991, 0.000], [0.000, 0.000, 5.067]], "species": ["Ge", "Ge", "As", "Pb", "Se"], "fractional_positions": [[0.000, 0.500, 0.000], [0.500, 0.000, 0.000], [0.000, 0.000, 0.000], [0.500, 0.500, 0.500], [0.000, 0.000, 0.500]], "formation_energy_uncorrected_mev_per_atom": 455, "energy_ev_per_atom": -4.1113, "mass_density_g_cm3": 6.66, "total_magnetization_mub_per_cell": 0.00}

---

11.
{"formula": "GeAs2PbSe", "functional": "PBEsol", "state": "relaxed", "cell": [[5.268, 0.000, 0.000], [0.000, 5.268, 0.000], [0.000, 0.000, 5.308]], "species": ["Ge", "As", "As", "Pb", "Se"], "fractional_positions": [[0.000, 0.000, 0.000], [0.000, 0.500, 0.500], [0.500, 0.000, 0.500], [0.500, 0.500, 0.500], [0.500, 0.500, 0.000]], "formation_energy_uncorrected_mev_per_atom": 1094, "energy_ev_per_atom": -3.5057, "mass_density_g_cm3": 5.73, "total_magnetization_mub_per_cell": 0.00}

---

12.
{"formula": "GeAsPb2W", "functional": "PBEsol", "state": "relaxed", "cell": [[5.346, 0.000, 0.000], [0.000, 5.346, 0.000], [0.000, 0.000, 4.757]], "species": ["Ge", "As", "Pb", "Pb", "W"], "fractional_positions": [[0.000, 0.000, 0.000], [0.000, 0.000, 0.500], [0.000, 0.500, 0.000], [0.500, 0.000, 0.000], [0.500, 0.500, 0.500]], "energy_ev_per_atom": -4.7207, "mass_density_g_cm3": 9.11, "total_magnetization_mub_per_cell": 3.70}

---

13.
{"formula": "GeAs3Pd", "functional": "PBEsol", "state": "relaxed", "cell": [[4.817, 0.000, 0.000], [0.000, 4.817, 0.000], [0.000, 0.000, 4.817]], "species": ["Ge", "As", "As", "As", "Pd"], "fractional_positions": [[0.000, 0.000, 0.000], [0.000, 0.500, 0.500], [0.500, 0.000, 0.500], [0.500, 0.500, 0.000], [0.500, 0.500, 0.500]], "energy_ev_per_atom": -4.5836, "mass_density_g_cm3": 6.00, "total_magnetization_mub_per_cell": 0.00}

---

14.
{"formula": "GeTe2AsPd", "functional": "PBEsol", "state": "relaxed", "cell": [[5.424, 0.000, 0.000], [0.000, 5.424, 0.000], [0.000, 0.000, 4.555]], "species": ["Ge", "Te", "Te", "As", "Pd"], "fractional_positions": [[0.000, 0.000, 0.000], [0.000, 0.500, 0.500], [0.500, 0.000, 0.500], [0.500, 0.500, 0.500], [0.500, 0.500, 0.000]], "formation_energy_uncorrected_mev_per_atom": 511, "energy_ev_per_atom": -4.0999, "mass_density_g_cm3": 6.31, "total_magnetization_mub_per_cell": 0.00}

---

15.
{"formula": "Ge2AsPt2", "functional": "PBEsol", "state": "relaxed", "cell": [[-1.946, 1.946, 5.799], [1.946, -1.946, 5.799], [1.946, 1.946, -5.799]], "species": ["Ge", "Ge", "As", "Pt", "Pt"], "fractional_positions": [[0.250, 0.750, 0.500], [0.750, 0.250, 0.500], [0.000, 0.000, 0.000], [0.385, 0.385, 0.000], [0.615, 0.615, 0.000]], "energy_ev_per_atom": -5.8218, "mass_density_g_cm3": 11.54, "total_magnetization_mub_per_cell": 0.00}

---

16.
{"formula": "GeSbAsPt2", "functional": "PBEsol", "state": "relaxed", "cell": [[4.652, 0.000, 0.000], [0.000, 4.652, 0.000], [0.000, 0.000, 4.901]], "species": ["Ge", "Sb", "As", "Pt", "Pt"], "fractional_positions": [[0.000, 0.000, 0.000], [0.500, 0.500, 0.500], [0.000, 0.000, 0.500], [0.000, 0.500, 0.000], [0.500, 0.000, 0.000]], "formation_energy_uncorrected_mev_per_atom": 595, "energy_ev_per_atom": -5.1108, "mass_density_g_cm3": 10.32, "total_magnetization_mub_per_cell": 0.00}

---

17.
{"formula": "GeAsPtSe2", "functional": "PBEsol", "state": "relaxed", "cell": [[4.759, 0.000, 0.000], [0.000, 4.759, 0.000], [0.000, 0.000, 4.801]], "species": ["Ge", "As", "Pt", "Se", "Se"], "fractional_positions": [[0.000, 0.000, 0.000], [0.000, 0.000, 0.500], [0.500, 0.500, 0.500], [0.000, 0.500, 0.000], [0.500, 0.000, 0.000]], "formation_energy_uncorrected_mev_per_atom": 1017, "energy_ev_per_atom": -3.9247, "mass_density_g_cm3": 7.64, "total_magnetization_mub_per_cell": 0.00}

---

18.
{"formula": "ZnGeAs2Pt", "functional": "PBEsol", "state": "relaxed", "cell": [[4.895, 0.000, 0.000], [0.000, 4.895, 0.000], [0.000, 0.000, 4.616]], "species": ["Zn", "Ge", "As", "As", "Pt"], "fractional_positions": [[0.000, 0.000, 0.000], [0.500, 0.500, 0.500], [0.000, 0.500, 0.500], [0.500, 0.000, 0.500], [0.500, 0.500, 0.000]], "energy_ev_per_atom": -3.8777, "mass_density_g_cm3": 7.25, "total_magnetization_mub_per_cell": 0.00}

---

19.
{"formula": "RbGe3As3", "functional": "PBEsol", "state": "relaxed", "cell": [[9.784, 0.000, 0.000], [0.000, 3.841, 0.000], [0.000, 0.000, 19.164]], "species": ["Rb", "Rb", "Rb", "Rb", "Ge", "Ge", "Ge", "Ge", "Ge", "Ge", "Ge", "Ge", "Ge", "Ge", "Ge", "Ge", "As", "As", "As", "As", "As", "As", "As", "As", "As", "As", "As", "As"], "fractional_positions": [[0.233, 0.250, 0.040], [0.267, 0.750, 0.540], [0.733, 0.250, 0.460], [0.767, 0.750, 0.960], [0.022, 0.250, 0.639], [0.098, 0.750, 0.242], [0.183, 0.750, 0.842], [0.317, 0.250, 0.342], [0.402, 0.250, 0.742], [0.478, 0.750, 0.139], [0.522, 0.250, 0.861], [0.598, 0.750, 0.258], [0.683, 0.750, 0.658], [0.817, 0.250, 0.158], [0.902, 0.250, 0.758], [0.978, 0.750, 0.361], [0.033, 0.250, 0.869], [0.112, 0.250, 0.414], [0.245, 0.750, 0.719], [0.255, 0.250, 0.219], [0.388, 0.750, 0.914], [0.467, 0.750, 0.369], [0.533, 0.250, 0.631], [0.612, 0.250, 0.086], [0.745, 0.750, 0.781], [0.755, 0.250, 0.281], [0.888, 0.750, 0.586], [0.967, 0.750, 0.131]], "energy_ev_per_atom": -4.6440, "mass_density_g_cm3": 4.87, "total_magnetization_mub_per_cell": 0.00}

---

20.
{"formula": "GeAsRh3", "functional": "PBEsol", "state": "relaxed", "cell": [[4.472, 0.000, 0.000], [0.000, 4.472, 0.000], [0.000, 0.000, 4.472]], "species": ["Ge", "As", "Rh", "Rh", "Rh"], "fractional_positions": [[0.000, 0.000, 0.000], [0.500, 0.500, 0.500], [0.000, 0.000, 0.500], [0.000, 0.500, 0.000], [0.500, 0.000, 0.000]], "energy_ev_per_atom": -6.1826, "mass_density_g_cm3": 8.47, "total_magnetization_mub_per_cell": 0.00}

---

21.
{"formula": "GeAsRu3", "functional": "PBEsol", "state": "relaxed", "cell": [[4.450, 0.000, 0.000], [0.000, 4.450, 0.000], [0.000, 0.000, 4.450]], "species": ["Ge", "As", "Ru", "Ru", "Ru"], "fractional_positions": [[0.000, 0.000, 0.000], [0.500, 0.500, 0.500], [0.000, 0.500, 0.500], [0.500, 0.000, 0.500], [0.500, 0.500, 0.000]], "energy_ev_per_atom": -7.0243, "mass_density_g_cm3": 8.49, "total_magnetization_mub_per_cell": 0.00}

---

22.
{"formula": "GeAs2RuSe", "functional": "PBEsol", "state": "relaxed", "cell": [[4.671, 0.000, 0.000], [0.000, 4.671, 0.000], [0.000, 0.000, 4.758]], "species": ["Ge", "As", "As", "Ru", "Se"], "fractional_positions": [[0.000, 0.000, 0.000], [0.000, 0.500, 0.000], [0.500, 0.000, 0.000], [0.500, 0.500, 0.500], [0.000, 0.000, 0.500]], "formation_energy_uncorrected_mev_per_atom": 1307, "energy_ev_per_atom": -4.5281, "mass_density_g_cm3": 6.44, "total_magnetization_mub_per_cell": 0.02}

---

23.
{"formula": "GeAsRuSe2", "functional": "PBEsol", "state": "relaxed", "cell": [[4.741, 0.000, 0.000], [0.000, 4.741, 0.000], [0.000, 0.000, 4.700]], "species": ["Ge", "As", "Ru", "Se", "Se"], "fractional_positions": [[0.000, 0.000, 0.000], [0.000, 0.000, 0.500], [0.500, 0.500, 0.500], [0.000, 0.500, 0.000], [0.500, 0.000, 0.000]], "formation_energy_uncorrected_mev_per_atom": 1238, "energy_ev_per_atom": -4.3459, "mass_density_g_cm3": 6.39, "total_magnetization_mub_per_cell": 0.00}

---

24.
{"formula": "Ge2AsRuW", "functional": "PBEsol", "state": "relaxed", "cell": [[4.651, 0.000, 0.000], [0.000, 4.651, 0.000], [0.000, 0.000, 4.682]], "species": ["Ge", "Ge", "As", "Ru", "W"], "fractional_positions": [[0.000, 0.500, 0.000], [0.500, 0.000, 0.000], [0.000, 0.000, 0.500], [0.000, 0.000, 0.000], [0.500, 0.500, 0.500]], "energy_ev_per_atom": -6.4937, "mass_density_g_cm3": 8.28, "total_magnetization_mub_per_cell": 3.51}

---

25.
{"formula": "ZnGeAsRu2", "functional": "PBEsol", "state": "relaxed", "cell": [[4.519, 0.000, 0.000], [0.000, 4.519, 0.000], [0.000, 0.000, 4.483]], "species": ["Zn", "Ge", "As", "Ru", "Ru"], "fractional_positions": [[0.000, 0.000, 0.000], [0.500, 0.500, 0.000], [0.000, 0.000, 0.500], [0.000, 0.500, 0.500], [0.500, 0.000, 0.500]], "energy_ev_per_atom": -5.4707, "mass_density_g_cm3": 7.53, "total_magnetization_mub_per_cell": 0.00}

---

26.
{"formula": "GeAs2S", "functional": "PBEsol", "state": "relaxed", "cell": [[0.000, 3.266, 3.266], [3.266, 0.000, 3.266], [3.266, 3.266, 0.000]], "species": ["Ge", "As", "As", "S"], "fractional_positions": [[0.000, 0.000, 0.000], [0.250, 0.250, 0.250], [0.750, 0.750, 0.750], [0.500, 0.500, 0.500]], "formation_energy_uncorrected_mev_per_atom": 376, "energy_ev_per_atom": -4.5076, "mass_density_g_cm3": 6.07, "total_magnetization_mub_per_cell": 0.00}

---

27.
{"formula": "GeAsS2", "functional": "PBEsol", "state": "relaxed", "cell": [[1.721, 0.994, 7.809], [-1.721, 0.994, 7.809], [0.000, -1.987, 7.809]], "species": ["Ge", "As", "S", "S"], "fractional_positions": [[0.000, 0.000, 0.000], [0.500, 0.500, 0.500], [0.396, 0.396, 0.396], [0.604, 0.604, 0.604]], "formation_energy_uncorrected_mev_per_atom": 16, "energy_ev_per_atom": -4.6876, "mass_density_g_cm3": 4.39, "total_magnetization_mub_per_cell": 0.00}

---

28.
{"formula": "GeAsS3", "functional": "PBEsol", "state": "relaxed", "cell": [[4.590, 0.000, 0.000], [0.000, 4.590, 0.000], [0.000, 0.000, 4.590]], "species": ["Ge", "As", "S", "S", "S"], "fractional_positions": [[0.000, 0.000, 0.000], [0.500, 0.500, 0.500], [0.000, 0.000, 0.500], [0.000, 0.500, 0.000], [0.500, 0.000, 0.000]], "formation_energy_uncorrected_mev_per_atom": 536, "energy_ev_per_atom": -4.1032, "mass_density_g_cm3": 4.19, "total_magnetization_mub_per_cell": 0.00}